Record 1
First-principles (GGA-PBE) data for Zn2Sb after structural relaxation, as listed in Alexandria via LeMat-Bulk.

Calculated values
- raw total energy (eV/atom) = -2.028
- D(E_F) (states/eV per atom) = 0.48

a = 5.8610 Å, b = 5.8610 Å, c = 8.4472 Å
α = 90.00°, β = 90.00°, γ = 120.00°
Space group P6_3/mmc (No. 194)
Unique sites:
Zn1 0.0000 0.0000 0.0000 x2
Zn2 0.1593 0.3185 0.2500 x6
Sb1 0.3333 0.6667 0.5138 x4



Record 2
First-principles (GGA-PBE) data for Zn2Sb after structural relaxation, as listed in Alexandria via LeMat-Bulk.

Calculated values
- raw total energy (eV/atom) = -2.058
- D(E_F) (states/eV per atom) = 0.27

a = 7.780 Å, b = 7.780 Å, c = 7.780 Å
α = 90.00°, β = 90.00°, γ = 90.00°
Space group Fd-3m (No. 227, origin choice 2)
Unique sites:
Zn1 0.000 0.000 0.000 x16
Sb1 0.125 0.125 0.625 x8



Q: raw total energy of number 2 (Zn2Sb)?
A: -2.058 eV/atom



Q: What is the formula in the second record?
A: Zn2Sb